Entry from Alexandria: a geometry-optimized SrNO6 structure (PBE-GGA).

Cell: 4.4431 4.4431 6.6347 Å, 114.68 114.68 66.90°
Closest atoms and distances in Å follow each position.
Fractional coordinates of all 8 atoms:
Sr 0.0000 0.0000 0.0000  8 O 2.62-2.69
N 0.5000 0.5000 0.5000  4 O 1.93
O 0.0911 0.6116 0.2526  1 O 1.44
O 0.2313 0.2313 0.6971  2 O 1.44
O 0.3884 0.9089 0.7474  1 O 1.44
O 0.6116 0.0911 0.2526  1 O 1.44
O 0.7687 0.7687 0.3029  2 O 1.44
O 0.9089 0.3884 0.7474  1 O 1.44

Summary:
- raw formation energy (eV per formula unit) = 0.10
- electronic total energy (eV per atom) = -4.96
- DOS at the Fermi energy (states/eV/cell) = 1.37
- spin magnetization (Bohr magnetons per cell) = 1.0
- symmetry = C2/m (12)